Here is a geometry-optimized Ce4OsRu2 structure from the Alexandria database. Energies are from GGA-PBE.

Computed properties:
- spin magnetization (Bohr magnetons per cell) = 0.00
- SG = P1
- E_form (eV per formula unit) = -1.86
- excess energy over the best structure of this formula in the dataset (meV per atom) = 0

Unit cell a=7.155 b=7.342 c=7.633 alpha=109.22 beta=108.14 gamma=108.96
Atoms (fractional coordinates):
Ce: 0.000 0.000 0.000
Ce: 0.011 0.024 0.528
Ce: 0.130 0.632 0.261
Ce: 0.392 0.545 0.672
Ce: 0.489 0.402 0.109
Ce: 0.512 0.923 0.152
Ce: 0.614 0.126 0.734
Ce: 0.848 0.502 0.587
Os: 0.109 0.426 0.883
Os: 0.356 0.171 0.379
Ru: 0.257 0.898 0.766
Ru: 0.624 0.766 0.496
Ru: 0.766 0.601 0.980
Ru: 0.916 0.252 0.281